No. 1
DFT (GGA-PBEsol) results for a geometry-optimized NaCSN structure.

Cell: 4.010 5.558 13.424 Å, 90.00 90.00 90.00°
Sites, in units of the cell vectors:
N: 0.250 0.799 0.067
C: 0.750 0.376 0.882
N: 0.750 0.299 0.433
Na: 0.250 0.563 0.397
S: 0.750 0.886 0.312
S: 0.250 0.386 0.188
S: 0.250 0.114 0.688
Na: 0.750 0.437 0.603
N: 0.250 0.701 0.567
C: 0.250 0.624 0.118
N: 0.750 0.201 0.933
Na: 0.750 0.063 0.103
Na: 0.250 0.937 0.897
S: 0.750 0.614 0.812
C: 0.750 0.124 0.382
C: 0.250 0.876 0.618

- Formation energy from raw total energies: -0.346 eV/atom
- Energy: -25.3 eV/f.u.

No. 2
DFT (GGA-PBEsol) results for a geometry-optimized NaCSe2N structure.

Cell: 2.501 5.888 5.888 Å, 90.00 90.00 90.00°
Sites, in units of the cell vectors:
Na: 0.500 0.500 0.500
Se: 0.000 0.500 0.000
Se: 0.000 0.000 0.500
C: 0.000 0.000 0.000
N: 0.500 0.000 0.000

- Formation energy from raw total energies: 0.272 eV/atom
- Energy: -25.9 eV/f.u.